(1)
Material: TlW2Br
Method: DFT, PBE
State: relaxed

Cell lengths 6.6244, 6.6244, 6.6244 Å; angles 90.00, 90.00, 90.00 degrees
Last column: nearest neighbours and their distance in Å.
Space group Fm-3m (No. 225)
Unique sites:
Tl 0.0000 0.0000 0.0000 x4  8 W 2.87
W 0.2500 0.2500 0.2500 x8  4 Tl 2.87, 4 Br 2.87
Br 0.0000 0.0000 0.5000 x4  8 W 2.87

Raw formation energy = 1.58 eV/atom
Distance to the lowest polymorph of the same formula = 1137.1 meV/atom
DFT total energy = -5.903 eV per atom

=====

(2)
Material: Tl3WBr8
Method: DFT, PBE
State: relaxed

Cell lengths 9.6358, 9.6358, 10.4938 Å; angles 90.00, 90.00, 120.00 degrees
Last column: nearest neighbours and their distance in Å.
Space group P6_3mc (No. 186)
Unique sites:
Tl 0.1490 0.2981 0.0000 x6  4 Br 3.10-3.44
W 0.3333 0.6667 0.4954 x2  6 Br 2.49-2.54
Br 0.0000 0.0000 0.2795 x2  3 Tl 3.40
Br 0.0865 0.5432 0.3625 x6  1 W 2.49
Br 0.2102 0.4204 0.6372 x6  1 W 2.54
Br 0.3333 0.6667 0.0392 x2  3 Tl 3.10

Raw formation energy = -0.63 eV/atom
DFT total energy = -3.412 eV per atom

=====

(3)
Material: Tl2WBr6
Method: DFT, PBE
State: relaxed

Cell lengths 12.8611, 7.4436, 6.5961 Å; angles 90.00, 91.12, 90.00 degrees
Last column: nearest neighbours and their distance in Å.
Space group C2/m (No. 12)
Unique sites:
Tl 0.1701 0.0000 0.1566 x4  5 Br 3.34-3.70
W 0.0000 0.5000 0.0000 x2  6 Br 2.55
Br 0.0800 0.2576 0.7786 x8  1 W 2.55
Br 0.1632 0.5000 0.2261 x4  1 W 2.55

Raw formation energy = -0.61 eV/atom
Distance to the lowest polymorph of the same formula = 20.4 meV/atom
DFT total energy = -3.694 eV per atom

=====

(4)
Material: TlWBr4
Method: DFT, PBE
State: relaxed

Cell lengths 6.9559, 7.5514, 8.6221 Å; angles 69.46, 89.54, 78.93 degrees
Last column: nearest neighbours and their distance in Å.
Space group P-1 (No. 2)
Unique sites:
Tl 0.0520 0.2155 0.1554 x2  5 Br 3.17-3.49
W 0.3075 0.4994 0.5005 x2  6 Br 2.54-2.76, 1 W 2.68
Br 0.0505 0.2511 0.5483 x2  2 W 2.75-2.76
Br 0.2567 0.5480 0.1932 x2  1 W 2.56
Br 0.2740 0.4469 0.8086 x2  1 W 2.56
Br 0.4354 0.8086 0.4401 x2  2 W 2.54

Raw formation energy = -0.47 eV/atom
Distance to the lowest polymorph of the same formula = 0.0 meV/atom
DFT total energy = -4.140 eV per atom

=====

(5)
Material: TlW4Br
Method: DFT, PBE
State: relaxed

Cell lengths 7.7179, 7.7179, 7.7179 Å; angles 90.00, 90.00, 90.00 degrees
Last column: nearest neighbours and their distance in Å.
Space group F-43m (No. 216)
Unique sites:
Tl 0.0000 0.0000 0.0000 x4  12 W 3.21, 4 Br 3.34
W 0.1227 0.1227 0.6227 x16  6 W 2.68-2.78
Br 0.2500 0.2500 0.2500 x4  12 W 3.19, 4 Tl 3.34

Raw formation energy = 1.23 eV/atom
DFT total energy = -8.083 eV per atom

=====

(6)
Material: Tl2WBr6
Method: DFT, PBE
State: relaxed

Cell lengths 7.4511, 7.8908, 12.7765 Å; angles 90.00, 124.97, 90.00 degrees
Last column: nearest neighbours and their distance in Å.
Space group P2_1/c (No. 14)
Unique sites:
Tl 0.2300 0.0741 0.2482 x4  8 Br 3.35-3.59
W 0.5000 0.0000 0.0000 x2  6 Br 2.55-2.56
Br 0.1867 0.1838 0.9652 x4  1 W 2.56
Br 0.2803 0.7324 0.9667 x4  1 W 2.55
Br 0.3306 0.0100 0.7609 x4  1 W 2.55

Raw formation energy = -0.63 eV/atom
Distance to the lowest polymorph of the same formula = 0.0 meV/atom
DFT total energy = -3.714 eV per atom

=====

(7)
Material: TlW2Br
Method: DFT, PBE
State: relaxed

Cell lengths 4.4225, 4.4225, 7.7972 Å; angles 90.00, 90.00, 90.00 degrees
Last column: nearest neighbours and their distance in Å.
Space group I-4m2 (No. 119)
Unique sites:
Tl 0.0000 0.0000 0.0000 x2  8 W 2.95-3.13, 4 Br 2.95
W 0.0000 0.0000 0.5000 x2  4 W 2.95, 4 Br 2.95, 4 Tl 3.13
W 0.0000 0.5000 0.7500 x2  4 Tl 2.95, 4 W 2.95, 4 Br 3.13
Br 0.0000 0.5000 0.2500 x2  4 Tl 2.95, 8 W 2.95-3.13

Raw formation energy = 1.37 eV/atom
Distance to the lowest polymorph of the same formula = 919.2 meV/atom
DFT total energy = -6.121 eV per atom

=====

(8)
Material: TlW2Br
Method: DFT, PBE
State: relaxed

Cell lengths 3.2332, 3.2332, 6.8650 Å; angles 90.00, 90.00, 90.00 degrees
Last column: nearest neighbours and their distance in Å.
Space group P4/mmm (No. 123)
Unique sites:
Tl 0.0000 0.0000 0.0000 x1  8 W 3.00, 4 Tl 3.23
W 0.5000 0.5000 0.2820 x2  4 Br 2.73, 1 W 2.99, 4 Tl 3.00
Br 0.0000 0.0000 0.5000 x1  8 W 2.73

Raw formation energy = 1.52 eV/atom
Distance to the lowest polymorph of the same formula = 1074.5 meV/atom
DFT total energy = -5.966 eV per atom

=====

(9)
Material: TlW2Br
Method: DFT, PBE
State: relaxed

Cell lengths 3.4417, 5.0524, 5.6285 Å; angles 90.00, 95.85, 90.00 degrees
Last column: nearest neighbours and their distance in Å.
Space group P2/m (No. 10)
Unique sites:
Tl 0.0000 0.0000 0.0000 x1  4 W 2.82, 2 Br 3.15
W 0.2913 0.5000 0.1549 x2  2 W 2.37-2.52
Br 0.5000 0.0000 0.5000 x1  4 Tl 3.15-3.45, 4 W 3.22, 2 Br 3.44

Raw formation energy = 1.07 eV/atom
Distance to the lowest polymorph of the same formula = 622.6 meV/atom
DFT total energy = -6.418 eV per atom

=====

(10)
Material: TlW2Br
Method: DFT, PBE
State: relaxed

Cell lengths 2.9170, 5.0391, 5.3044 Å; angles 90.00, 90.00, 90.00 degrees
Last column: nearest neighbours and their distance in Å.
Space group Pmmm (No. 47)
Unique sites:
Tl 0.0000 0.0000 0.0000 x1  4 W 2.91, 2 Tl 2.92, 4 Br 3.03
W 0.0000 0.5000 0.5000 x1  4 Br 2.91, 6 W 2.92-3.03
W 0.5000 0.5000 0.0000 x1  4 Tl 2.91, 6 W 2.92-3.03
Br 0.5000 0.0000 0.5000 x1  4 W 2.91, 2 Br 2.92, 4 Tl 3.03

Raw formation energy = 1.25 eV/atom
Distance to the lowest polymorph of the same formula = 799.6 meV/atom
DFT total energy = -6.241 eV per atom

=====

(11)
Material: TlW2Br
Method: DFT, PBE
State: relaxed

Cell lengths 4.2020, 4.2020, 19.5086 Å; angles 90.00, 90.00, 90.00 degrees
Last column: nearest neighbours and their distance in Å.
Space group I-42d (No. 122)
Unique sites:
Tl 0.0000 0.0000 0.0000 x4  4 Br 2.97, 4 W 2.97
W 0.1813 0.2500 0.6250 x8  2 W 2.60, 2 Br 2.76
Br 0.0000 0.0000 0.5000 x4  4 W 2.76, 4 Tl 2.97

Raw formation energy = 1.39 eV/atom
Distance to the lowest polymorph of the same formula = 943.5 meV/atom
DFT total energy = -6.097 eV per atom

=====

(12)
Material: TlW2Br
Method: DFT, PBE
State: relaxed

Cell lengths 2.9090, 5.4717, 9.7551 Å; angles 90.00, 90.00, 90.00 degrees
Last column: nearest neighbours and their distance in Å.
Space group Cmmm (No. 65)
Unique sites:
Tl 0.0000 0.0000 0.0000 x2  6 Tl 2.91-3.10, 4 W 2.92
W 0.0000 0.5000 0.2601 x4  2 Br 2.76, 2 W 2.91, 2 Tl 2.92
Br 0.0000 0.0000 0.5000 x2  4 W 2.76, 2 Br 2.91

Raw formation energy = 1.28 eV/atom
Distance to the lowest polymorph of the same formula = 834.4 meV/atom
DFT total energy = -6.206 eV per atom